PBE Sc2TaSe, optimized geometry; uncorrected energy = -57.36 eV/cell; energy relative to the elements, uncorrected = -0.170 eV/atom
1.0
3.307 0.000 0.000
0.000 5.168 0.000
0.000 0.000 9.392
Sc Ta Se
4 2 2
Direct
0.000 0.000 0.228
0.000 0.000 0.772
0.500 0.500 0.272
0.500 0.500 0.728
0.000 0.500 0.000
0.500 0.000 0.500
0.000 0.500 0.500
0.500 0.000 0.000

***

PBE ScTa2Se, optimized geometry; uncorrected energy = -67.24 eV/cell; energy relative to the elements, uncorrected = -0.024 eV/atom
1.0
3.472 0.000 0.000
0.000 4.852 0.000
0.000 0.000 8.873
Sc Ta Se
2 4 2
Direct
0.000 0.000 0.000
0.500 0.500 0.500
0.000 0.000 0.490
0.000 0.500 0.237
0.500 0.000 0.737
0.500 0.500 0.990
0.000 0.500 0.754
0.500 0.000 0.254

***

PBE Sc2TaSe, optimized geometry; uncorrected energy = -56.52 eV/cell; energy relative to the elements, uncorrected = -0.065 eV/atom
1.0
4.155 0.000 0.000
0.000 4.155 0.000
0.000 0.000 8.974
Sc Ta Se
4 2 2
Direct
0.000 0.500 0.250
0.000 0.500 0.750
0.500 0.000 0.250
0.500 0.000 0.750
0.000 0.000 0.000
0.500 0.500 0.500
0.000 0.000 0.500
0.500 0.500 0.000

***

PBE ScTa3Se, optimized geometry; uncorrected energy = -42.33 eV/cell; energy relative to the elements, uncorrected = 0.608 eV/atom
1.0
4.759 0.000 0.000
0.000 4.759 0.000
0.000 0.000 4.759
Sc Ta Se
1 3 1
Direct
0.000 0.000 0.000
0.000 0.500 0.500
0.500 0.000 0.500
0.500 0.500 0.000
0.500 0.500 0.500

***

PBE ScTa2Se, optimized geometry; uncorrected energy = -34.55 eV/cell; energy relative to the elements, uncorrected = -0.256 eV/atom
1.0
3.477 0.000 0.000
0.000 3.477 0.000
0.000 0.000 6.178
Sc Ta Se
1 2 1
Direct
0.000 0.000 0.000
0.000 0.000 0.508
0.500 0.500 0.727
0.500 0.500 0.225

***

PBE ScTaSe, optimized geometry; uncorrected energy = -87.55 eV/cell; energy relative to the elements, uncorrected = -0.073 eV/atom
1.0
6.222 0.000 0.000
0.000 6.222 0.000
0.000 0.000 6.222
Sc Ta Se
4 4 4
Direct
0.000 0.000 0.000
0.000 0.500 0.500
0.500 0.000 0.500
0.500 0.500 0.000
0.000 0.000 0.500
0.000 0.500 0.000
0.500 0.000 0.000
0.500 0.500 0.500
0.250 0.250 0.250
0.250 0.750 0.750
0.750 0.250 0.750
0.750 0.750 0.250

***

PBE ScTa2Se, optimized geometry; uncorrected energy = -66.07 eV/cell; energy relative to the elements, uncorrected = 0.122 eV/atom
1.0
5.632 0.000 0.000
0.000 8.239 0.000
0.000 0.000 3.191
Sc Ta Se
2 4 2
Direct
0.000 0.000 0.000
0.500 0.500 0.000
0.250 0.250 0.500
0.250 0.750 0.500
0.750 0.250 0.500
0.750 0.750 0.500
0.000 0.500 0.000
0.500 0.000 0.000

***

PBE Sc2TaSe, optimized geometry; uncorrected energy = -58.28 eV/cell; energy relative to the elements, uncorrected = -0.284 eV/atom
1.0
3.226 0.000 0.000
0.000 5.108 0.000
0.000 0.000 9.951
Sc Ta Se
4 2 2
Direct
0.000 0.000 0.000
0.000 0.500 0.208
0.500 0.000 0.708
0.500 0.500 0.500
0.000 0.000 0.450
0.500 0.500 0.950
0.000 0.500 0.738
0.500 0.000 0.238

***

PBE Sc2TaSe, optimized geometry; uncorrected energy = -57.78 eV/cell; energy relative to the elements, uncorrected = -0.222 eV/atom
1.0
9.599 0.000 0.000
0.000 3.307 0.000
-1.391 0.000 4.944
Sc Ta Se
4 2 2
Direct
0.230 0.000 0.230
0.270 0.500 0.770
0.730 0.500 0.230
0.770 0.000 0.770
0.000 0.000 0.500
0.500 0.500 0.500
0.000 0.500 0.000
0.500 0.000 0.000

***

PBE ScTa2Se, optimized geometry; uncorrected energy = -132.97 eV/cell; energy relative to the elements, uncorrected = 0.070 eV/atom
1.0
3.905 0.000 0.000
0.000 3.905 0.000
0.000 0.000 20.745
Sc Ta Se
4 8 4
Direct
0.000 0.000 0.000
0.000 0.500 0.250
0.500 0.000 0.750
0.500 0.500 0.500
0.248 0.250 0.625
0.250 0.748 0.875
0.250 0.752 0.375
0.252 0.250 0.125
0.748 0.750 0.125
0.750 0.248 0.375
0.750 0.252 0.875
0.752 0.750 0.625
0.000 0.000 0.500
0.000 0.500 0.750
0.500 0.000 0.250
0.500 0.500 0.000

***

PBE Sc2TaSe, optimized geometry; uncorrected energy = -109.47 eV/cell; energy relative to the elements, uncorrected = 0.158 eV/atom
1.0
6.816 0.000 0.000
0.000 6.816 0.000
0.000 0.000 6.816
Sc Ta Se
8 4 4
Direct
0.000 0.000 0.000
0.000 0.500 0.500
0.250 0.250 0.250
0.250 0.750 0.750
0.500 0.000 0.500
0.500 0.500 0.000
0.750 0.250 0.750
0.750 0.750 0.250
0.000 0.000 0.500
0.000 0.500 0.000
0.500 0.000 0.000
0.500 0.500 0.500
0.250 0.250 0.750
0.250 0.750 0.250
0.750 0.250 0.250
0.750 0.750 0.750

***

PBE Sc2TaSe, optimized geometry; uncorrected energy = -57.16 eV/cell; energy relative to the elements, uncorrected = -0.145 eV/atom
1.0
4.094 0.000 0.000
0.000 4.094 0.000
0.000 0.000 9.357
Sc Ta Se
4 2 2
Direct
0.000 0.000 0.000
0.000 0.500 0.250
0.500 0.000 0.750
0.500 0.500 0.500
0.000 0.000 0.500
0.500 0.500 0.000
0.000 0.500 0.750
0.500 0.000 0.250

***

PBE Sc2TaSe, optimized geometry; uncorrected energy = -90.02 eV/cell; energy relative to the elements, uncorrected = -0.502 eV/atom
1.0
3.364 0.000 0.000
-1.682 2.913 0.000
0.000 0.000 25.332
Sc Ta Se
6 3 3
Direct
0.000 0.000 0.241
0.000 0.000 0.759
0.333 0.667 0.426
0.333 0.667 0.907
0.667 0.333 0.093
0.667 0.333 0.574
0.000 0.000 0.000
0.333 0.667 0.667
0.667 0.333 0.333
0.000 0.000 0.500
0.333 0.667 0.167
0.667 0.333 0.833

***

PBE Sc2TaSe, optimized geometry; uncorrected energy = -87.81 eV/cell; energy relative to the elements, uncorrected = -0.318 eV/atom
1.0
3.319 0.000 0.000
-1.660 2.875 0.000
0.000 0.000 26.690
Sc Ta Se
6 3 3
Direct
0.000 0.000 0.000
0.000 0.000 0.232
0.333 0.667 0.667
0.333 0.667 0.899
0.667 0.333 0.333
0.667 0.333 0.565
0.000 0.000 0.478
0.333 0.667 0.145
0.667 0.333 0.811
0.000 0.000 0.744
0.333 0.667 0.410
0.667 0.333 0.077

***

PBE ScTa2Se, optimized geometry; uncorrected energy = -33.66 eV/cell; energy relative to the elements, uncorrected = -0.033 eV/atom
1.0
3.184 0.000 0.000
0.000 4.924 0.000
-0.485 0.000 4.941
Sc Ta Se
1 2 1
Direct
0.000 0.000 0.000
0.360 0.500 0.753
0.640 0.500 0.247
0.500 0.000 0.500

***

PBE Sc3TaSe, optimized geometry; uncorrected energy = -33.96 eV/cell; energy relative to the elements, uncorrected = 0.075 eV/atom
1.0
4.928 0.000 0.000
0.000 4.928 0.000
0.000 0.000 4.928
Sc Ta Se
3 1 1
Direct
0.000 0.000 0.500
0.000 0.500 0.000
0.500 0.000 0.000
0.500 0.500 0.500
0.000 0.000 0.000

***

PBE Sc2TaSe, optimized geometry; uncorrected energy = -29.11 eV/cell; energy relative to the elements, uncorrected = -0.277 eV/atom
1.0
3.252 0.000 0.000
0.000 3.252 0.000
0.000 0.000 7.900
Sc Ta Se
2 1 1
Direct
0.000 0.000 0.000
0.500 0.500 0.323
0.500 0.500 0.734
0.000 0.000 0.559

***

PBE Sc2TaSe, optimized geometry; uncorrected energy = -58.92 eV/cell; energy relative to the elements, uncorrected = -0.364 eV/atom
1.0
4.657 0.000 0.000
0.000 3.364 0.000
0.000 0.000 10.322
Sc Ta Se
4 2 2
Direct
0.000 0.000 0.000
0.000 0.500 0.500
0.500 0.000 0.304
0.500 0.500 0.804
0.000 0.000 0.731
0.000 0.500 0.231
0.500 0.000 0.583
0.500 0.500 0.083

***

PBE ScTaSe, optimized geometry; uncorrected energy = -23.30 eV/cell; energy relative to the elements, uncorrected = -0.542 eV/atom
1.0
3.382 0.000 0.000
-1.691 2.929 0.000
0.000 0.000 6.042
Sc Ta Se
1 1 1
Direct
0.000 0.000 0.000
0.667 0.333 0.628
0.333 0.667 0.336

***

PBE ScTa2Se, optimized geometry; uncorrected energy = -68.63 eV/cell; energy relative to the elements, uncorrected = -0.198 eV/atom
1.0
3.575 0.000 0.000
0.000 5.070 0.000
0.000 0.000 8.419
Sc Ta Se
2 4 2
Direct
0.000 0.000 0.000
0.500 0.500 0.000
0.000 0.000 0.470
0.000 0.500 0.719
0.500 0.000 0.719
0.500 0.500 0.470
0.000 0.500 0.231
0.500 0.000 0.231

***

PBE ScTa3Se, optimized geometry; uncorrected energy = -35.80 eV/cell; energy relative to the elements, uncorrected = 1.914 eV/atom
1.0
4.802 0.000 0.000
0.000 4.802 0.000
0.000 0.000 4.802
Sc Ta Se
1 3 1
Direct
0.000 0.000 0.000
0.000 0.000 0.500
0.000 0.500 0.000
0.500 0.000 0.000
0.500 0.500 0.500

***

PBE ScTaSe, optimized geometry; uncorrected energy = -90.57 eV/cell; energy relative to the elements, uncorrected = -0.325 eV/atom
1.0
3.924 0.000 0.000
0.000 4.951 0.000
0.000 0.000 11.943
Sc Ta Se
4 4 4
Direct
0.000 0.000 0.000
0.000 0.500 0.500
0.500 0.000 0.500
0.500 0.500 0.000
0.000 0.000 0.313
0.000 0.500 0.813
0.500 0.000 0.813
0.500 0.500 0.313
0.000 0.000 0.662
0.000 0.500 0.162
0.500 0.000 0.162
0.500 0.500 0.662

***

PBE Sc2TaSe, optimized geometry; uncorrected energy = -29.94 eV/cell; energy relative to the elements, uncorrected = -0.486 eV/atom
1.0
3.421 0.000 0.000
0.000 3.421 0.000
0.000 0.000 6.705
Sc Ta Se
2 1 1
Direct
0.000 0.000 0.238
0.000 0.000 0.762
0.500 0.500 0.500
0.500 0.500 0.000

***

PBE ScTa2Se, optimized geometry; uncorrected energy = -66.34 eV/cell; energy relative to the elements, uncorrected = 0.087 eV/atom
1.0
4.189 0.000 0.000
0.000 4.189 0.000
0.000 0.000 8.416
Sc Ta Se
2 4 2
Direct
0.000 0.000 0.000
0.500 0.500 0.500
0.000 0.000 0.500
0.000 0.500 0.250
0.500 0.000 0.750
0.500 0.500 0.000
0.000 0.500 0.750
0.500 0.000 0.250

***

PBE ScTa2Se, optimized geometry; uncorrected energy = -103.29 eV/cell; energy relative to the elements, uncorrected = -0.227 eV/atom
1.0
3.277 0.000 0.000
-1.638 2.838 0.000
0.000 0.000 25.380
Sc Ta Se
3 6 3
Direct
0.000 0.000 0.000
0.333 0.667 0.667
0.667 0.333 0.333
0.000 0.000 0.242
0.000 0.000 0.490
0.333 0.667 0.157
0.333 0.667 0.909
0.667 0.333 0.576
0.667 0.333 0.824
0.000 0.000 0.752
0.333 0.667 0.419
0.667 0.333 0.085

***

PBE ScTa2Se, optimized geometry; uncorrected energy = -132.02 eV/cell; energy relative to the elements, uncorrected = 0.129 eV/atom
1.0
6.661 0.000 0.000
0.000 6.661 0.000
0.000 0.000 6.661
Sc Ta Se
4 8 4
Direct
0.000 0.000 0.000
0.000 0.500 0.500
0.500 0.000 0.500
0.500 0.500 0.000
0.000 0.000 0.500
0.000 0.500 0.000
0.250 0.250 0.750
0.250 0.750 0.250
0.500 0.000 0.000
0.500 0.500 0.500
0.750 0.250 0.250
0.750 0.750 0.750
0.250 0.250 0.250
0.250 0.750 0.750
0.750 0.250 0.750
0.750 0.750 0.250

***

PBE ScTaSe, optimized geometry; uncorrected energy = -45.82 eV/cell; energy relative to the elements, uncorrected = -0.414 eV/atom
1.0
3.286 0.000 0.000
0.000 3.286 0.000
0.000 0.000 10.792
Sc Ta Se
2 2 2
Direct
0.000 0.000 0.000
0.500 0.500 0.500
0.000 0.000 0.695
0.500 0.500 0.195
0.000 0.000 0.316
0.500 0.500 0.816

***

PBE ScTa4Se8, optimized geometry; uncorrected energy = -92.58 eV/cell; energy relative to the elements, uncorrected = -0.843 eV/atom
1.0
3.532 2.039 6.583
-3.532 2.039 6.583
0.000 -4.078 6.583
Sc Ta Se
1 4 8
Direct
0.000 0.000 0.000
0.000 0.000 0.500
0.000 0.500 0.000
0.500 0.000 0.000
0.500 0.500 0.500
0.250 0.250 0.250
0.254 0.254 0.739
0.254 0.739 0.254
0.261 0.746 0.746
0.739 0.254 0.254
0.746 0.261 0.746
0.746 0.746 0.261
0.750 0.750 0.750

***

PBE ScTaWSe2, optimized geometry; uncorrected energy = -30.38 eV/cell; energy relative to the elements, uncorrected = 1.544 eV/atom
1.0
4.773 0.000 0.000
0.000 4.773 0.000
0.000 0.000 5.092
Sc Ta W Se
1 1 1 2
Direct
0.000 0.000 0.000
0.000 0.000 0.500
0.500 0.500 0.500
0.000 0.500 0.000
0.500 0.000 0.000

***

PBE TbSc2Se, optimized geometry; uncorrected energy = -68.22 eV/cell; energy relative to the elements, uncorrected = -0.490 eV/atom
1.0
3.551 0.000 0.000
-1.776 3.076 0.000
0.000 0.000 29.147
Tb Sc Se
3 6 3
Direct
0.000 0.000 0.000
0.333 0.667 0.667
0.667 0.333 0.333
0.000 0.000 0.110
0.000 0.000 0.890
0.333 0.667 0.557
0.333 0.667 0.776
0.667 0.333 0.224
0.667 0.333 0.443
0.000 0.000 0.500
0.333 0.667 0.167
0.667 0.333 0.833